Below is a relaxed DyZnPb2 crystal, with properties calculated at the GGA-PBE level.

abc: 4.911 4.911 5.832
angles: 65.10 65.10 60.00
Fractional coordinates of all 4 atoms:
Pb  0.764  0.764  0.707
Pb  0.236  0.236  0.293
Zn  0.500  0.500  0.500
Dy  0.000  0.000  0.000

As for the space group: No. 166. The calculation puts the density of states at the Fermi level at 2.4 states/eV/cell. Its formation energy is -38 meV/atom. Its crystal system is trigonal.